No. 1
Here is a relaxed structure of BaMg2Cd from Alexandria via LeMat-Bulk. Energies are from GGA-PBE.

The space group is R-3m (No. 166, hexagonal axes) and the conventional cell measures 3.7188, 3.7188 and 31.3674 Å, with angles of 90.00, 90.00 and 120.00 degrees. Symmetry generates all atoms from Ba at (0.0000, 0.0000, 0.0000), Mg at (0.0000, 0.0000, 0.2353) and Cd at (0.0000, 0.0000, 0.5000).

As for the calculated volume: 31.3 A^3/atom. The formation energy from the elements is 0.119 eV/atom.


No. 2
Here is a relaxed structure of Ba3MgCd8 from Alexandria via LeMat-Bulk. Energies are from GGA-PBE.

The space group is R3m (No. 160, hexagonal axes) and the conventional cell measures 6.2730, 6.2730 and 31.1436 Å, with angles of 90.00, 90.00 and 120.00 degrees. Symmetry generates all atoms from Ba at (0.0000, 0.0000, 0.0000), Ba at (0.0000, 0.0000, 0.1281), Ba at (0.0000, 0.0000, 0.6189), Mg at (0.0000, 0.0000, 0.4955), Cd at (0.0000, 0.0000, 0.3106), Cd at (0.0000, 0.0000, 0.8130), Cd at (0.0030, 0.5015, 0.0640) and Cd at (0.1671, 0.3341, 0.8940).

As for the calculated volume: 29.5 A^3/atom. The formation energy from the elements is -0.224 eV/atom.


No. 3
Here is a relaxed structure of BaMg4Cd2 from Alexandria via LeMat-Bulk. Energies are from GGA-PBE.

The space group is C2/m (No. 12) and the conventional cell measures 9.728, 7.766 and 6.075 Å, with angles of 90.00, 127.50 and 90.00 degrees. Symmetry generates all atoms from Ba at (0.000, 0.000, 0.000), Mg at (0.193, 0.192, 0.693) and Cd at (0.003, 0.500, 0.752).

As for the calculated volume: 26.0 A^3/atom. The calculation puts the excess energy over the best structure of this formula in the dataset at 22 kJ/mol of formula units. The formation energy from the elements is -0.100 eV/atom.